Arrangement P

The following is a DFT calculation (GGA-PBE) of an optimized crystal structure of CePr3Ir3.

Cell: 7.7291 7.7291 7.7291 Å, 67.50 67.50 67.50°
Last column: nearest neighbours and their distance in Å.
Sites, in units of the cell vectors:
1 Ce 0.1783 0.1783 0.1783  3 Ir 2.73
2 Ce 0.8217 0.8217 0.8217  3 Ir 2.73
3 Pr 0.1332 0.6825 0.3775  5 Ir 2.95-3.09
4 Pr 0.3175 0.6225 0.8668  5 Ir 2.95-3.09
5 Pr 0.3775 0.1332 0.6825  5 Ir 2.95-3.09
6 Pr 0.6225 0.8668 0.3175  5 Ir 2.95-3.09
7 Pr 0.6825 0.3775 0.1332  5 Ir 2.95-3.09
8 Pr 0.8668 0.3175 0.6225  5 Ir 2.95-3.09
9 Ir 0.0493 0.4524 0.8124  1 Ce 2.73, 3 Pr 2.95-3.05, 1 Ir 3.01
10 Ir 0.1876 0.9507 0.5476  1 Ce 2.73, 3 Pr 2.95-3.05, 1 Ir 3.01
11 Ir 0.4524 0.8124 0.0493  1 Ce 2.73, 3 Pr 2.95-3.05, 1 Ir 3.01
12 Ir 0.5476 0.1876 0.9507  1 Ce 2.73, 3 Pr 2.95-3.05, 1 Ir 3.01
13 Ir 0.8124 0.0493 0.4524  1 Ce 2.73, 3 Pr 2.95-3.05, 1 Ir 3.01
14 Ir 0.9507 0.5476 0.1876  1 Ce 2.73, 3 Pr 2.95-3.05, 1 Ir 3.01

## Properties
D(E_F) = 11.96 states/eV per cell
SG = R-3
V = 27.053 Å³/atom

=====

Arrangement Q

The following is a DFT calculation (GGA-PBE) of an optimized crystal structure of CePr3Ir3.

Cell: 7.1141 7.1141 7.2332 Å, 90.19 90.19 92.74°
Last column: nearest neighbours and their distance in Å.
Sites, in units of the cell vectors:
1 Ce 0.2288 0.2288 0.3721  3 Ir 2.60-2.78
2 Ce 0.7712 0.7712 0.6279  3 Ir 2.60-2.78
3 Pr 0.1770 0.8230 0.0000  6 Ir 2.98-3.01
4 Pr 0.2597 0.7403 0.5000  6 Ir 3.07-3.32
5 Pr 0.3223 0.3223 0.8956  3 Ir 2.91-3.05
6 Pr 0.6777 0.6777 0.1044  3 Ir 2.91-3.05
7 Pr 0.7403 0.2597 0.5000  6 Ir 3.07-3.32
8 Pr 0.8230 0.1770 0.0000  6 Ir 2.98-3.01
9 Ir 0.0358 0.4848 0.2122  1 Ce 2.60
10 Ir 0.0682 0.0682 0.6872  2 Ce 2.78-2.95, 5 Pr 2.91-3.07, 1 Ir 3.02
11 Ir 0.4848 0.0358 0.2122  1 Ce 2.60
12 Ir 0.5152 0.9642 0.7878  1 Ce 2.60
13 Ir 0.9318 0.9318 0.3128  2 Ce 2.78-2.95, 5 Pr 2.91-3.07, 1 Ir 3.02
14 Ir 0.9642 0.5152 0.7878  1 Ce 2.60

## Properties
D(E_F) = 10.04 states/eV per cell
SG = C2/m
V = 26.118 Å³/atom

=====

Stability ranking, top entry: arrangement P; the second entry is 82 meV/atom less favorable.

=====

Arrangement P

The following is a DFT calculation (GGA-PBE) of an optimized crystal structure of CePrIr.

Cell: 4.8250 7.4596 7.4596 Å, 120.40 90.00 90.00°
Last column: nearest neighbours and their distance in Å.
Sites, in units of the cell vectors:
1 Ce 0.0000 0.0000 0.0000  4 Ir 2.80-3.07
2 Ce 0.0000 0.4837 0.7395  4 Ir 2.81-3.09
3 Ce 0.0000 0.7395 0.4837  4 Ir 2.81-3.09
4 Pr 0.5000 0.1553 0.7410  5 Ir 3.08-3.29, 2 Ce 3.44
5 Pr 0.5000 0.3271 0.3271  5 Ir 3.09-3.31, 2 Ce 3.42
6 Pr 0.5000 0.7410 0.1553  5 Ir 3.08-3.29, 2 Ce 3.44
7 Ir 0.0000 0.0713 0.4065  3 Ce 2.80-2.81
8 Ir 0.0000 0.4065 0.0713  3 Ce 2.80-2.81
9 Ir 0.5000 0.7437 0.7437  6 Ce 3.07-3.09, 3 Pr 3.08-3.09

## Properties
D(E_F) = 16.41 states/eV per cell
SG = Amm2
V = 25.732 Å³/atom

=====

Arrangement Q

The following is a DFT calculation (GGA-PBE) of an optimized crystal structure of CePrIr.

Cell: 4.9349 4.9349 4.9349 Å, 60.00 60.00 60.00°
Last column: nearest neighbours and their distance in Å.
Sites, in units of the cell vectors:
1 Ce 0.0000 0.0000 0.0000  4 Ir 3.02
2 Pr 0.5000 0.5000 0.5000  4 Ir 3.02
3 Ir 0.7500 0.7500 0.7500  4 Ce 3.02, 4 Pr 3.02

## Properties
D(E_F) = 7.91 states/eV per cell
SG = F-43m
V = 28.327 Å³/atom

=====

Stability ranking, top entry: arrangement P; the second entry is 88 meV/atom less favorable.